No. 1
Here is a relaxed MoF3 crystal from Alexandria. Energies are from GGA+U.

a b c (Å): 5.821 5.821 5.821
angles (deg): 55.49 55.49 55.49
Each line ends with the local moment (μB).
Fractional positions:
F 0.250 0.877 0.623  0.03
F 0.623 0.250 0.877  0.03
F 0.123 0.377 0.750  0.03
F 0.377 0.750 0.123  0.03
F 0.750 0.123 0.377  0.03
F 0.877 0.623 0.250  0.03
Mo 0.500 0.500 0.500  2.80
Mo 0.000 0.000 0.000  2.80

Properties
Polymorph energy (0 for the lowest one) (meV/atom): 0
Magnetization (μB per atom): 0.750
Symmetry: R-3c

=====

No. 2
Here is a relaxed Mo2F13 crystal from Alexandria. Energies are from GGA+U.

a b c (Å): 5.155 6.652 7.795
angles (deg): 116.04 89.64 100.36
Each line ends with the local moment (μB).
Fractional positions:
F 0.384 0.434 0.938  0.00
F 0.913 0.590 0.716  -0.01
F 0.087 0.410 0.284  -0.01
F 0.651 0.712 0.480  0.00
F 0.499 0.794 0.827  0.00
F 0.779 0.147 0.789  -0.01
F 0.221 0.853 0.211  -0.01
F 0.501 0.206 0.173  0.00
F 0.349 0.288 0.520  0.00
F 0.000 0.000 0.000  -0.02
F 0.616 0.566 0.062  0.00
F 0.147 0.918 0.630  0.00
F 0.853 0.082 0.370  0.00
Mo 0.179 0.148 0.275  0.54
Mo 0.821 0.852 0.725  0.54

Properties
Magnetization (μB per atom): 0.067
Symmetry: P-1

=====

No. 3
Here is a relaxed MoF5 crystal from Alexandria. Energies are from GGA+U.

a b c (Å): 5.670 5.670 5.670
angles (deg): 141.68 134.11 61.28
Each line ends with the local moment (μB).
Fractional positions:
F 0.500 0.000 0.500  -0.03
F 0.234 0.500 0.734  -0.02
F 0.806 0.806 0.000  0.04
F 0.194 0.194 0.000  0.04
F 0.766 0.500 0.266  -0.02
Mo 0.000 0.000 0.000  0.99

Properties
Polymorph energy (0 for the lowest one) (meV/atom): 424
Magnetization (μB per atom): 0.167
Symmetry: Immm

=====

No. 4
Here is a relaxed MoF4 crystal from Alexandria. Energies are from GGA+U.

a b c (Å): 4.091 4.091 4.091
angles (deg): 90.00 90.00 90.00
Each line ends with the local moment (μB).
Fractional positions:
F 0.500 0.000 0.500  0.01
F 0.000 0.500 0.500  0.01
F 0.500 0.500 0.000  0.01
F 0.000 0.000 0.000  0.39
Mo 0.500 0.500 0.500  2.42

Properties
Polymorph energy (0 for the lowest one) (meV/atom): 458
Magnetization (μB per atom): 0.595
Symmetry: Pm-3m

=====

No. 5
Here is a relaxed MoF crystal from Alexandria. Energies are from GGA+U.

a b c (Å): 7.785 6.623 6.295
angles (deg): 90.00 90.00 90.00
Each line ends with the local moment (μB).
Fractional positions:
Mo 0.580 0.250 0.774  3.47
Mo 0.080 0.750 0.726  3.47
Mo 0.420 0.750 0.226  3.47
Mo 0.580 0.750 0.774  3.47
Mo 0.920 0.250 0.274  3.47
Mo 0.080 0.250 0.726  3.47
Mo 0.420 0.250 0.226  3.47
Mo 0.920 0.750 0.274  3.47
F 0.839 0.250 0.902  0.04
F 0.661 0.250 0.403  0.04
F 0.161 0.750 0.098  0.04
F 0.839 0.750 0.903  0.04
F 0.661 0.750 0.402  0.04
F 0.339 0.750 0.597  0.04
F 0.339 0.250 0.598  0.04
F 0.161 0.250 0.097  0.04

Properties
Polymorph energy (0 for the lowest one) (meV/atom): 181
Magnetization (μB per atom): 1.937
Symmetry: Pbam

=====

No. 6
Here is a relaxed MoF crystal from Alexandria. Energies are from GGA+U.

a b c (Å): 9.046 9.046 3.072
angles (deg): 90.00 90.00 90.00
Each line ends with the local moment (μB).
Fractional positions:
F 0.347 0.687 0.000  0.00
F 0.687 0.653 0.000  0.00
F 0.653 0.313 0.000  0.00
F 0.187 0.153 0.500  0.00
F 0.313 0.347 0.000  0.00
F 0.847 0.187 0.500  0.00
F 0.153 0.813 0.500  0.00
F 0.813 0.847 0.500  0.00
Mo 0.091 0.639 0.000  0.19
Mo 0.591 0.139 0.500  0.19
Mo 0.909 0.361 0.000  0.19
Mo 0.361 0.091 0.000  0.19
Mo 0.139 0.409 0.500  0.19
Mo 0.639 0.909 0.000  0.19
Mo 0.409 0.861 0.500  0.19
Mo 0.861 0.591 0.500  0.19

Properties
Polymorph energy (0 for the lowest one) (meV/atom): 194
Magnetization (μB per atom): 0.123
Symmetry: I4/m

=====

No. 7
Here is a relaxed MoF3 crystal from Alexandria. Energies are from GGA+U.

a b c (Å): 8.459 8.459 8.459
angles (deg): 19.04 19.04 19.04
Each line ends with the local moment (μB).
Fractional positions:
F 0.892 0.892 0.892  0.00
F 0.108 0.108 0.108  0.00
F 0.000 0.000 0.000  0.72
Mo 0.500 0.500 0.500  0.07

Properties
Polymorph energy (0 for the lowest one) (meV/atom): 1694
Magnetization (μB per atom): 0.217
Symmetry: R-3m

=====

No. 8
Here is a relaxed MoF crystal from Alexandria. Energies are from GGA+U.

a b c (Å): 6.936 6.936 6.936
angles (deg): 90.00 90.00 90.00
Each line ends with the local moment (μB).
Fractional positions:
F 0.250 0.000 0.500  0.06
F 0.000 0.500 0.750  0.06
F 0.000 0.500 0.250  0.06
F 0.500 0.750 0.000  0.06
F 0.750 0.000 0.500  0.06
F 0.500 0.250 0.000  0.06
Mo 0.500 0.000 0.750  4.14
Mo 0.000 0.250 0.500  4.14
Mo 0.500 0.000 0.250  4.14
Mo 0.250 0.500 0.000  4.14
Mo 0.750 0.500 0.000  4.14
Mo 0.000 0.750 0.500  4.14

Properties
Polymorph energy (0 for the lowest one) (meV/atom): 630
Magnetization (μB per atom): 2.486
Symmetry: Pm-3n

=====

No. 9
Here is a relaxed MoF crystal from Alexandria. Energies are from GGA+U.

a b c (Å): 2.722 2.722 8.396
angles (deg): 90.00 90.00 120.00
Fractional positions:
F 0.667 0.333 0.920
F 0.333 0.667 0.420
Mo 0.333 0.667 0.662
Mo 0.667 0.333 0.162

Properties
Polymorph energy (0 for the lowest one) (meV/atom): 836
Magnetization (μB per atom): 0.000
Symmetry: P6_3mc

=====

No. 10
Here is a relaxed MoF4 crystal from Alexandria. Energies are from GGA+U.

a b c (Å): 5.047 5.354 6.153
angles (deg): 115.57 105.45 89.99
Each line ends with the local moment (μB).
Fractional positions:
Mo 0.535 0.961 0.023  1.91
Mo 0.979 0.463 0.026  1.91
F 0.689 0.105 0.809  0.01
F 0.304 0.789 0.174  0.02
F 0.216 0.821 0.739  0.02
F 0.830 0.327 0.255  0.01
F 0.305 0.285 0.174  0.02
F 0.122 0.325 0.748  0.02
F 0.689 0.605 0.809  0.01
F 0.829 0.827 0.255  0.01

Properties
Polymorph energy (0 for the lowest one) (meV/atom): 0
Magnetization (μB per atom): 0.400
Symmetry: P1

=====

Respective electronic total energy values: -5.7627 -4.5455 -4.6929 -4.8710 -5.1307 -5.1182 -4.0690 -4.6820 -4.4758 -5.3291 eV per atom.